## La2Tb2YEr (GGA-PBE)

Data for a geometry-optimized La2Tb2YEr structure.

Cell: 5.6955 9.9021 7.1032 Å, 90.00 90.00 90.00°
Space group Pmc2_1 (No. 26)
Unique sites:
La: 0.0000 0.0007 0.0000 [2 per cell]
La: 0.5000 0.1750 0.2504 [2 per cell]
Tb: 0.0000 0.3338 0.2497 [2 per cell]
Tb: 0.5000 0.1665 0.7498 [2 per cell]
Y: 0.5000 0.5003 0.4995 [2 per cell]
Er: 0.0000 0.3412 0.7492 [2 per cell]

DFT formation energy	0.062	eV/atom
D(E_F)	9.6	states/eV/f.u.
ρ	7.062	g/cm3